1 | This record from Alexandria describes a geometry-optimized La2MgTe structure. The functional is GGA-PBEsol.

Summary:
DOS(E_F)   3.94 states/eV/cell
Magnetic moment   0.000 μB per atom

abc: 4.020 5.242 6.410
angles: 114.14 108.27 90.00
Element x y z (fractional)
La  0.015  0.015  0.030
La  0.249  0.749  0.499
Mg  0.476  0.476  0.951
Te  0.760  0.260  0.520

2 | This record from Alexandria describes a geometry-optimized La2MgTe structure. The functional is GGA-PBEsol.

Summary:
DOS(E_F)   2.79 states/eV/cell
Magnetic moment   0.000 μB per atom

abc: 4.540 4.540 6.458
angles: 90.00 90.00 90.00
Element x y z (fractional)
La  0.000  0.000  0.876
La  0.500  0.500  0.374
Mg  0.000  0.000  0.376
Te  0.500  0.500  0.874

Energies relative to the most stable structure, in meV/atom: 1 0; 2 13.

1 | This record from Alexandria describes a geometry-optimized LaMgW2 structure. The functional is GGA-PBEsol.

Summary:
DOS(E_F)   3.04 states/eV/cell
Magnetic moment   0.000 μB per atom

abc: 2.917 2.917 10.111
angles: 90.00 90.00 111.96
Element x y z (fractional)
La  0.000  0.000  0.522
Mg  0.500  0.500  0.215
W  0.000  0.000  0.980
W  0.500  0.500  0.784

2 | This record from Alexandria describes a geometry-optimized LaMgW2 structure. The functional is GGA-PBEsol.

Summary:
DOS(E_F)   4.03 states/eV/cell
Magnetic moment   0.000 μB per atom

abc: 3.550 3.550 6.642
angles: 90.00 90.00 90.00
Element x y z (fractional)
La  0.500  0.500  0.000
Mg  0.500  0.500  0.500
W  0.000  0.000  0.678
W  0.000  0.000  0.322

3 | This record from Alexandria describes a geometry-optimized LaMgW2 structure. The functional is GGA-PBEsol.

Summary:
DOS(E_F)   4.25 states/eV/cell
Magnetic moment   0.000 μB per atom

abc: 2.803 5.565 5.734
angles: 116.54 99.70 99.01
Element x y z (fractional)
La  0.500  0.000  0.000
Mg  0.000  0.500  0.000
W  0.000  0.000  0.500
W  0.500  0.500  0.500

Energies relative to the most stable structure, in meV/atom: 1 0; 2 427; 3 372.

1 | This record from Alexandria describes a geometry-optimized LaMnPb2 structure. The functional is GGA-PBEsol.

Summary:
DOS(E_F)   2.19 states/eV/cell
Magnetic moment   0.975 μB per atom

abc: 4.542 4.542 5.987
angles: 112.29 112.29 90.00
Element x y z (fractional)
La  0.500  0.500  0.000
Mn  0.250  0.750  0.500
Pb  0.000  0.000  0.000
Pb  0.750  0.250  0.500

2 | This record from Alexandria describes a geometry-optimized LaMnPb2 structure. The functional is GGA-PBEsol.

Summary:
DOS(E_F)   4.08 states/eV/cell
Magnetic moment   0.960 μB per atom

abc: 5.259 5.259 5.259
angles: 60.00 60.00 60.00
Element x y z (fractional)
Pb  0.250  0.250  0.250
Pb  0.750  0.750  0.750
Mn  0.000  0.000  0.000
La  0.500  0.500  0.500

3 | This record from Alexandria describes a geometry-optimized LaMnPb2 structure. The functional is GGA-PBEsol.

Summary:
DOS(E_F)   3.31 states/eV/cell
Magnetic moment   0.691 μB per atom

abc: 3.380 5.775 6.161
angles: 117.95 105.92 90.00
Element x y z (fractional)
La  0.500  0.000  0.000
Mn  0.000  0.500  0.000
Pb  0.716  0.716  0.432
Pb  0.284  0.284  0.568

Energies relative to the most stable structure, in meV/atom: 1 0; 2 53; 3 44.

1 | This record from Alexandria describes a geometry-optimized La2MnRe structure. The functional is GGA-PBEsol.

Summary:
DOS(E_F)   4.32 states/eV/cell
Magnetic moment   1.044 μB per atom

abc: 5.050 5.050 5.050
angles: 60.00 60.00 60.00
Element x y z (fractional)
La  0.250  0.250  0.250
La  0.750  0.750  0.750
Mn  0.500  0.500  0.500
Re  0.000  0.000  0.000

2 | This record from Alexandria describes a geometry-optimized La2MnRe structure. The functional is GGA-PBEsol.

Summary:
DOS(E_F)   4.86 states/eV/cell
Magnetic moment   0.000 μB per atom

abc: 3.063 3.778 8.046
angles: 90.00 95.09 90.00
Element x y z (fractional)
La  0.876  0.000  0.921
La  0.642  0.500  0.333
Mn  0.062  0.000  0.575
Re  0.420  0.500  0.671

Energies relative to the most stable structure, in meV/atom: 1 199; 2 0.